1.
{
  "formula": "PmTmCuHg",
  "functional": "PBE-GGA",
  "state": "optimized geometry",
  "lattice_angstrom": [[5.145, 0.000, 0.000], [2.572, 4.455, 0.000], [2.572, 1.485, 4.201]],
  "species": ["Cu", "Pm", "Hg", "Tm"],
  "frac_coords": [[0.250, 0.250, 0.250], [0.500, 0.500, 0.500], [0.750, 0.750, 0.750], [0.000, 0.000, 0.000]],
  "magnetic_moment_mub_per_cell": 0.0,
  "crystal_system": "cubic",
  "n_ef_per_ev_fu": 2.74,
  "delta_e_f_mev_per_atom": -312,
  "relative_energy_mev_per_atom": 29
}


2.
{
  "formula": "PmYCuHg",
  "functional": "PBE-GGA",
  "state": "optimized geometry",
  "lattice_angstrom": [[3.600, 0.000, 0.000], [0.000, 3.600, 0.000], [0.000, 0.000, 7.522]],
  "species": ["Cu", "Hg", "Y", "Pm"],
  "frac_coords": [[0.000, 0.000, 0.371], [0.000, 0.000, 0.846], [0.500, 0.500, 0.584], [0.500, 0.500, 0.127]],
  "magnetic_moment_mub_per_cell": 0.0,
  "crystal_system": "tetragonal",
  "n_ef_per_ev_fu": 4.35,
  "delta_e_f_mev_per_atom": -334,
  "relative_energy_mev_per_atom": 0
}


3.
{
  "formula": "PmYCuHg",
  "functional": "PBE-GGA",
  "state": "optimized geometry",
  "lattice_angstrom": [[5.184, 0.000, 0.000], [2.592, 4.489, 0.000], [2.592, 1.496, 4.233]],
  "species": ["Pm", "Hg", "Cu", "Y"],
  "frac_coords": [[0.250, 0.250, 0.250], [0.500, 0.500, 0.500], [0.000, 0.000, 0.000], [0.750, 0.750, 0.750]],
  "magnetic_moment_mub_per_cell": 0.0,
  "crystal_system": "cubic",
  "n_ef_per_ev_fu": 2.38,
  "delta_e_f_mev_per_atom": -315,
  "relative_energy_mev_per_atom": 19
}


4.
{
  "formula": "Pm4Zn2CuHg",
  "functional": "PBE-GGA",
  "state": "optimized geometry",
  "lattice_angstrom": [[5.206, 0.000, 0.000], [2.603, 4.508, 0.000], [2.603, 1.503, 8.507]],
  "species": ["Pm", "Pm", "Pm", "Pm", "Zn", "Zn", "Cu", "Hg"],
  "frac_coords": [[0.380, 0.380, 0.860], [0.620, 0.620, 0.140], [0.130, 0.130, 0.611], [0.870, 0.870, 0.389], [0.252, 0.252, 0.243], [0.748, 0.748, 0.757], [0.500, 0.500, 0.500], [0.000, 0.000, 0.000]],
  "magnetic_moment_mub_per_cell": 0.1,
  "crystal_system": "trigonal",
  "n_ef_per_ev_fu": 8.72,
  "delta_e_f_mev_per_atom": -303
}


5.
{
  "formula": "Pm2Zn3Cu12Hg",
  "functional": "PBE-GGA",
  "state": "optimized geometry",
  "lattice_angstrom": [[9.376, 1.770, 1.255], [6.169, 7.279, 1.255], [6.169, 3.591, 6.455]],
  "species": ["Cu", "Cu", "Cu", "Cu", "Cu", "Cu", "Cu", "Cu", "Cu", "Cu", "Cu", "Cu", "Zn", "Zn", "Zn", "Hg", "Pm", "Pm"],
  "frac_coords": [[0.583, 0.583, 0.205], [0.874, 0.458, 0.874], [0.126, 0.542, 0.126], [0.458, 0.874, 0.874], [0.417, 0.795, 0.417], [0.126, 0.126, 0.542], [0.874, 0.874, 0.458], [0.417, 0.417, 0.795], [0.583, 0.205, 0.583], [0.205, 0.583, 0.583], [0.542, 0.126, 0.126], [0.795, 0.417, 0.417], [0.000, 0.500, 0.000], [0.500, 0.000, 0.000], [0.000, 0.000, 0.500], [0.000, 0.000, 0.000], [0.640, 0.640, 0.640], [0.360, 0.360, 0.360]],
  "magnetic_moment_mub_per_cell": 0.0,
  "crystal_system": "trigonal",
  "n_ef_per_ev_fu": 5.58,
  "delta_e_f_mev_per_atom": 102
}


6.
{
  "formula": "PmZrCuHg",
  "functional": "PBE-GGA",
  "state": "optimized geometry",
  "lattice_angstrom": [[-3.215, -0.335, 3.873], [1.759, -0.369, 4.714], [-0.514, 3.871, 3.194]],
  "species": ["Hg", "Cu", "Pm", "Zr"],
  "frac_coords": [[0.750, 0.750, 0.750], [0.250, 0.250, 0.250], [0.500, 0.500, 0.500], [0.000, 0.000, 0.000]],
  "magnetic_moment_mub_per_cell": 1.2,
  "crystal_system": "cubic",
  "n_ef_per_ev_fu": 3.51,
  "delta_e_f_mev_per_atom": -89
}


7.
{
  "formula": "Pr6CuHg5",
  "functional": "PBE-GGA",
  "state": "optimized geometry",
  "lattice_angstrom": [[5.326, -0.343, 0.875], [-0.021, 7.139, 2.927], [1.247, 0.365, 9.286]],
  "species": ["Pr", "Pr", "Pr", "Pr", "Pr", "Pr", "Hg", "Hg", "Hg", "Hg", "Hg", "Cu"],
  "frac_coords": [[0.838, 0.082, 0.323], [0.500, 0.238, 0.000], [0.500, 0.762, 0.000], [0.838, 0.595, 0.323], [0.162, 0.405, 0.677], [0.162, 0.918, 0.677], [0.327, 0.828, 0.345], [0.667, 0.667, 0.667], [0.333, 0.333, 0.333], [0.000, 0.500, 0.000], [0.673, 0.172, 0.655], [0.000, 0.000, 0.000]],
  "magnetic_moment_mub_per_cell": 2.1,
  "crystal_system": "orthorhombic",
  "n_ef_per_ev_fu": 13.57,
  "delta_e_f_mev_per_atom": -402
}


8.
{
  "formula": "Pr3Cu2Hg",
  "functional": "PBE-GGA",
  "state": "optimized geometry",
  "lattice_angstrom": [[-2.389, -0.138, -2.853], [-1.125, -5.016, 1.184], [-5.191, 4.908, 4.109]],
  "species": ["Pr", "Pr", "Pr", "Cu", "Cu", "Hg"],
  "frac_coords": [[0.500, 0.176, 0.351], [0.500, 0.500, 0.000], [0.500, 0.824, 0.649], [0.000, 0.662, 0.324], [0.000, 0.338, 0.676], [0.000, 0.000, 0.000]],
  "magnetic_moment_mub_per_cell": 0.0,
  "crystal_system": "orthorhombic",
  "n_ef_per_ev_fu": 5.44,
  "delta_e_f_mev_per_atom": -218,
  "relative_energy_mev_per_atom": 10
}


9.
{
  "formula": "Pr3Cu2Hg3",
  "functional": "PBE-GGA",
  "state": "optimized geometry",
  "lattice_angstrom": [[4.652, 0.000, 0.000], [-2.326, 5.291, 0.000], [0.000, 0.000, 16.143]],
  "species": ["Hg", "Hg", "Hg", "Hg", "Hg", "Hg", "Pr", "Pr", "Pr", "Pr", "Pr", "Pr", "Cu", "Cu", "Cu", "Cu"],
  "frac_coords": [[0.646, 0.292, 0.750], [0.371, 0.742, 0.957], [0.629, 0.258, 0.457], [0.354, 0.708, 0.250], [0.371, 0.742, 0.543], [0.629, 0.258, 0.043], [0.646, 0.292, 0.250], [0.078, 0.155, 0.606], [0.922, 0.845, 0.394], [0.922, 0.845, 0.106], [0.078, 0.155, 0.894], [0.354, 0.708, 0.750], [0.786, 0.573, 0.892], [0.214, 0.427, 0.392], [0.786, 0.573, 0.608], [0.214, 0.427, 0.108]],
  "magnetic_moment_mub_per_cell": 0.0,
  "crystal_system": "orthorhombic",
  "n_ef_per_ev_fu": 5.81,
  "delta_e_f_mev_per_atom": -324
}


10.
{
  "formula": "Pr8Cu2Hg",
  "functional": "PBE-GGA",
  "state": "optimized geometry",
  "lattice_angstrom": [[-4.556, -0.224, -2.628], [-2.494, -4.889, 4.742], [0.086, 8.582, 4.392]],
  "species": ["Pr", "Pr", "Pr", "Pr", "Pr", "Pr", "Pr", "Pr", "Hg", "Cu", "Cu"],
  "frac_coords": [[0.408, 0.528, 0.815], [0.324, 0.009, 0.648], [0.032, 0.769, 0.065], [0.805, 0.666, 0.610], [0.592, 0.472, 0.185], [0.195, 0.334, 0.390], [0.676, 0.991, 0.352], [0.968, 0.231, 0.935], [0.500, 0.000, 0.000], [0.820, 0.282, 0.640], [0.180, 0.718, 0.360]],
  "magnetic_moment_mub_per_cell": 0.0,
  "crystal_system": "monoclinic",
  "n_ef_per_ev_fu": 11.22,
  "delta_e_f_mev_per_atom": -108,
  "relative_energy_mev_per_atom": 0
}


11.
{
  "formula": "Pr5Cu2Hg",
  "functional": "PBE-GGA",
  "state": "optimized geometry",
  "lattice_angstrom": [[8.314, 0.000, 0.000], [0.000, 8.314, 0.000], [-4.157, -4.157, 6.498]],
  "species": ["Pr", "Pr", "Pr", "Pr", "Pr", "Pr", "Pr", "Pr", "Pr", "Pr", "Cu", "Cu", "Cu", "Cu", "Hg", "Hg"],
  "frac_coords": [[0.000, 0.000, 0.000], [0.299, 0.799, 0.287], [0.013, 0.513, 0.713], [0.513, 0.701, 0.713], [0.500, 0.500, 0.000], [0.987, 0.487, 0.287], [0.487, 0.299, 0.287], [0.701, 0.201, 0.713], [0.201, 0.013, 0.713], [0.799, 0.987, 0.287], [0.873, 0.627, 0.000], [0.127, 0.373, 0.000], [0.373, 0.873, 0.000], [0.627, 0.127, 0.000], [0.250, 0.250, 0.500], [0.750, 0.750, 0.500]],
  "magnetic_moment_mub_per_cell": 0.0,
  "crystal_system": "tetragonal",
  "n_ef_per_ev_fu": 9.77,
  "delta_e_f_mev_per_atom": -178
}


12.
{
  "formula": "Pr8Cu2Hg",
  "functional": "PBE-GGA",
  "state": "optimized geometry",
  "lattice_angstrom": [[5.566, 0.037, -0.947], [-1.939, 7.373, -3.245], [0.074, -0.231, 8.282]],
  "species": ["Pr", "Pr", "Pr", "Pr", "Pr", "Pr", "Pr", "Pr", "Cu", "Cu", "Hg"],
  "frac_coords": [[0.000, 0.763, 0.245], [0.580, 0.082, 0.326], [0.421, 0.680, 0.925], [0.421, 0.925, 0.680], [0.580, 0.326, 0.082], [0.811, 0.612, 0.612], [0.000, 0.245, 0.763], [0.190, 0.395, 0.395], [0.498, 0.311, 0.692], [0.498, 0.692, 0.311], [0.001, 0.003, 0.003]],
  "magnetic_moment_mub_per_cell": 0.0,
  "crystal_system": "monoclinic",
  "n_ef_per_ev_fu": 16.87,
  "delta_e_f_mev_per_atom": -32,
  "relative_energy_mev_per_atom": 76
}